(1)
# YPN3 PBE relaxed
data_YPN3
_chemical_formula_sum 'Y2 P2 N6'
_cell_length_a 5.621
_cell_length_b 3.747
_cell_length_c 6.531
_cell_angle_alpha 90.00
_cell_angle_beta 112.19
_cell_angle_gamma 90.00
_symmetry_space_group_name_H-M 'P 1 21/m 1'
_symmetry_Int_Tables_number 11
loop_
_symmetry_equiv_pos_as_xyz
'x,y,z'
'-x,-y,-z'
'-x,y+1/2,-z'
'x,-y+1/2,z'
loop_
_atom_site_label
_atom_site_type_symbol
_atom_site_fract_x
_atom_site_fract_y
_atom_site_fract_z
_atom_site_occupancy
Y1 Y 0.021 0.250 0.262 1
P1 P 0.499 0.250 0.842 1
N1 N 0.213 0.250 0.646 1
N2 N 0.220 0.750 0.174 1
N3 N 0.480 0.750 0.890 1
# Energy   -8.014 eV/atom
# Theoretical density   4.2 Mg/m³
# Uncorrected formation energy   -3.222 eV per formula unit
# Fermi-level density of states   6.3 states/eV per cell
# M_tot   1.06 μB/cell

---

(2)
# CdHgP2 PBE relaxed
data_CdHgP2
_chemical_formula_sum 'Cd2 Hg2 P4'
_cell_length_a 5.517
_cell_length_b 7.632
_cell_length_c 3.810
_cell_angle_alpha 90.00
_cell_angle_beta 90.00
_cell_angle_gamma 90.00
_symmetry_space_group_name_H-M 'C m m m'
_symmetry_Int_Tables_number 65
_symmetry_space_group_name_Hall '-C 2 2'
loop_
_atom_site_label
_atom_site_type_symbol
_atom_site_fract_x
_atom_site_fract_y
_atom_site_fract_z
_atom_site_occupancy
Cd1 Cd 0.000 0.000 0.000 1
Hg1 Hg 0.000 0.500 0.000 1
P1 P 0.250 0.250 0.500 1
# Energy   -2.471 eV/atom
# Theoretical density   7.8 Mg/m³
# Fermi-level density of states   3.6 states/eV per cell
# Offset from the most stable computed form   0.489 eV per atom
# M_tot   0.00 μB/cell

---

(3)
# PmTmIrO6 PBE relaxed
data_PmTmIrO6
_chemical_formula_sum 'Pm2 Tm2 Ir2 O12'
_cell_length_a 5.4700
_cell_length_b 5.4700
_cell_length_c 9.9301
_cell_angle_alpha 90.00
_cell_angle_beta 90.00
_cell_angle_gamma 120.00
_symmetry_space_group_name_H-M 'P -3 1 c'
_symmetry_Int_Tables_number 163
_symmetry_space_group_name_Hall '-P 3 2c'
loop_
_atom_site_label
_atom_site_type_symbol
_atom_site_fract_x
_atom_site_fract_y
_atom_site_fract_z
_atom_site_occupancy
Pm1 Pm 0.0000 0.0000 0.0000 1
Tm1 Tm 0.3333 0.6667 0.2500 1
Ir1 Ir 0.3333 0.6667 0.7500 1
O1 O 0.0362 0.3725 0.6384 1
# Energy   -7.527 eV/atom
# Theoretical density   7.8 Mg/m³
# Uncorrected formation energy   -19.913 eV per formula unit
# Fermi-level density of states   5.3 states/eV per cell
# M_tot   5.86 μB/cell

---

(4)
# Nb2TlSi2 PBE relaxed
data_Nb2TlSi2
_chemical_formula_sum 'Nb4 Tl2 Si4'
_cell_length_a 7.064
_cell_length_b 7.064
_cell_length_c 3.468
_cell_angle_alpha 90.00
_cell_angle_beta 90.00
_cell_angle_gamma 90.00
_symmetry_space_group_name_H-M 'P 4/m b m'
_symmetry_Int_Tables_number 127
_symmetry_space_group_name_Hall '-P 4 2ab'
loop_
_atom_site_label
_atom_site_type_symbol
_atom_site_fract_x
_atom_site_fract_y
_atom_site_fract_z
_atom_site_occupancy
Nb1 Nb 0.166 0.334 0.000 1
Tl1 Tl 0.000 0.000 0.500 1
Si1 Si 0.122 0.622 0.500 1
# Energy   -6.671 eV/atom
# Theoretical density   8.6 Mg/m³
# Uncorrected formation energy   -0.002 eV per formula unit
# Fermi-level density of states   8.3 states/eV per cell
# M_tot   0.00 μB/cell

---

(5)
# KHfAlPt2 PBE relaxed
data_KHfAlPt2
_chemical_formula_sum 'K1 Hf1 Al1 Pt2'
_cell_length_a 5.079
_cell_length_b 5.079
_cell_length_c 5.378
_cell_angle_alpha 90.00
_cell_angle_beta 90.00
_cell_angle_gamma 90.00
_symmetry_space_group_name_H-M 'P 4/m m m'
_symmetry_Int_Tables_number 123
_symmetry_space_group_name_Hall '-P 4 2'
loop_
_atom_site_label
_atom_site_type_symbol
_atom_site_fract_x
_atom_site_fract_y
_atom_site_fract_z
_atom_site_occupancy
K1 K 0.000 0.000 0.000 1
Hf1 Hf 0.500 0.500 0.500 1
Al1 Al 0.500 0.500 0.000 1
Pt1 Pt 0.000 0.500 0.500 1
# Energy   -5.091 eV/atom
# Theoretical density   7.6 Mg/m³
# Fermi-level density of states   3.4 states/eV per cell
# M_tot   0.00 μB/cell

---

(6)
# MgHgOs2 PBE relaxed
data_MgHgOs2
_chemical_formula_sum 'Mg2 Hg2 Os4'
_cell_length_a 5.280
_cell_length_b 8.690
_cell_length_c 2.898
_cell_angle_alpha 90.00
_cell_angle_beta 90.00
_cell_angle_gamma 90.00
_symmetry_space_group_name_H-M 'C m m m'
_symmetry_Int_Tables_number 65
_symmetry_space_group_name_Hall '-C 2 2'
loop_
_atom_site_label
_atom_site_type_symbol
_atom_site_fract_x
_atom_site_fract_y
_atom_site_fract_z
_atom_site_occupancy
Mg1 Mg 0.000 0.000 0.000 1
Hg1 Hg 0.000 0.500 0.000 1
Os1 Os 0.250 0.250 0.500 1
# Energy   -5.363 eV/atom
# Theoretical density   15.1 Mg/m³
# Fermi-level density of states   8.1 states/eV per cell
# Offset from the most stable computed form   0.536 eV per atom
# M_tot   0.00 μB/cell

---

(7)
# Pm3NdTm7 PBE relaxed
data_Pm3NdTm7
_chemical_formula_sum 'Pm3 Nd1 Tm7'
_cell_length_a 7.0159
_cell_length_b 7.0159
_cell_length_c 8.6427
_cell_angle_alpha 90.00
_cell_angle_beta 90.00
_cell_angle_gamma 120.00
_symmetry_space_group_name_H-M 'P 3 m 1'
_symmetry_Int_Tables_number 156
loop_
_symmetry_equiv_pos_as_xyz
'x,y,z'
'-y,x-y,z'
'-x+y,-x,z'
'-y,-x,z'
'-x+y,y,z'
'x,x-y,z'
loop_
_atom_site_label
_atom_site_type_symbol
_atom_site_fract_x
_atom_site_fract_y
_atom_site_fract_z
_atom_site_occupancy
Pm1 Pm 0.1672 0.3343 0.0000 1
Nd1 Nd 0.0000 0.0000 0.6611 1
Tm1 Tm 0.0017 0.5009 0.6591 1
Tm2 Tm 0.3328 0.1664 0.3354 1
Tm3 Tm 0.3333 0.6667 0.3369 1
# Energy   -4.390 eV/atom
# Theoretical density   7.9 Mg/m³
# Fermi-level density of states   16.3 states/eV per cell
# Offset from the most stable computed form   0.027 eV per atom
# M_tot   0.00 μB/cell

---

(8)
# Na2HoZr2Te6 PBE relaxed
data_Na2HoZr2Te6
_chemical_formula_sum 'Na4 Ho2 Zr4 Te12'
_cell_length_a 7.199
_cell_length_b 12.531
_cell_length_c 8.156
_cell_angle_alpha 90.00
_cell_angle_beta 106.89
_cell_angle_gamma 90.00
_symmetry_space_group_name_H-M 'C 1 2/m 1'
_symmetry_Int_Tables_number 12
loop_
_symmetry_equiv_pos_as_xyz
'x,y,z'
'-x,-y,-z'
'-x,y,-z'
'x,-y,z'
'x+1/2,y+1/2,z'
'-x+1/2,-y+1/2,-z'
'-x+1/2,y+1/2,-z'
'x+1/2,-y+1/2,z'
loop_
_atom_site_label
_atom_site_type_symbol
_atom_site_fract_x
_atom_site_fract_y
_atom_site_fract_z
_atom_site_occupancy
Na1 Na 0.000 0.162 0.000 1
Ho1 Ho 0.000 0.000 0.500 1
Zr1 Zr 0.000 0.332 0.500 1
Te1 Te 0.226 0.500 0.725 1
Te2 Te 0.248 0.171 0.727 1
# Energy   -4.956 eV/atom
# Theoretical density   5.5 Mg/m³
# Uncorrected formation energy   -11.358 eV per formula unit
# Fermi-level density of states   9.1 states/eV per cell
# M_tot   0.00 μB/cell